Record 1
# GGA-PBE Nd2DyBi3, relaxed
data_Nd2DyBi3
_cell_length_a 9.128
_cell_length_b 12.920
_cell_length_c 27.401
_cell_angle_alpha 90.00
_cell_angle_beta 90.00
_cell_angle_gamma 90.00
_symmetry_space_group_name_H-M 'F d d d'
_symmetry_Int_Tables_number 70
loop_
_symmetry_equiv_pos_as_xyz
'x,y,z'
'-x,-y,-z'
'-x+1/4,-y+1/4,z'
'x+1/4,y+1/4,-z'
'x,-y+1/4,-z+1/4'
'-x,y+1/4,z+1/4'
'-x+1/4,y,-z+1/4'
'x+1/4,-y,z+1/4'
'x,y+1/2,z+1/2'
'-x,-y+1/2,-z+1/2'
'-x+1/4,-y+3/4,z+1/2'
'x+1/4,y+3/4,-z+1/2'
'x,-y+3/4,-z+3/4'
'-x,y+3/4,z+3/4'
'-x+1/4,y+1/2,-z+3/4'
'x+1/4,-y+1/2,z+3/4'
'x+1/2,y,z+1/2'
'-x+1/2,-y,-z+1/2'
'-x+3/4,-y+1/4,z+1/2'
'x+3/4,y+1/4,-z+1/2'
'x+1/2,-y+1/4,-z+3/4'
'-x+1/2,y+1/4,z+3/4'
'-x+3/4,y,-z+3/4'
'x+3/4,-y,z+3/4'
'x+1/2,y+1/2,z'
'-x+1/2,-y+1/2,-z'
'-x+3/4,-y+3/4,z'
'x+3/4,y+3/4,-z'
'x+1/2,-y+3/4,-z+1/4'
'-x+1/2,y+3/4,z+1/4'
'-x+3/4,y+1/2,-z+1/4'
'x+3/4,-y+1/2,z+1/4'
loop_
_atom_site_label
_atom_site_type_symbol
_atom_site_fract_x
_atom_site_fract_y
_atom_site_fract_z
Nd1 Nd 0.125 0.125 0.043
Nd2 Nd 0.125 0.125 0.374
Dy1 Dy 0.125 0.125 0.541
Bi1 Bi 0.118 0.375 0.875
Bi2 Bi 0.122 0.372 0.709
# - E_tot (eV per atom) = -5.214
# - volume (A^3/atom) = 33.66
# - E above lowest polymorph (eV/atom) = 0.000
# - ΔH_f (0 K) (kJ per mole of atoms) = -88

***

Record 2
# GGA-PBE Au2ClF, relaxed
data_Au2ClF
_cell_length_a 6.472
_cell_length_b 6.472
_cell_length_c 6.472
_cell_angle_alpha 90.00
_cell_angle_beta 90.00
_cell_angle_gamma 90.00
_symmetry_space_group_name_H-M 'F m -3 m'
_symmetry_Int_Tables_number 225
_symmetry_space_group_name_Hall '-F 4 2 3'
loop_
_atom_site_label
_atom_site_type_symbol
_atom_site_fract_x
_atom_site_fract_y
_atom_site_fract_z
Au1 Au 0.250 0.250 0.250
Cl1 Cl 0.000 0.000 0.000
F1 F 0.000 0.000 0.500
# - E_tot (eV per atom) = -2.563
# - volume (A^3/atom) = 16.94
# - formation energy without anion corrections (eV per atom) = 0.005
# - E above lowest polymorph (eV/atom) = 0.112

***

Record 3
# GGA-PBE CdCu2Te2, relaxed
data_CdCu2Te2
_cell_length_a 5.262
_cell_length_b 5.262
_cell_length_c 8.196
_cell_angle_alpha 90.00
_cell_angle_beta 90.00
_cell_angle_gamma 90.00
_symmetry_space_group_name_H-M 'I 4/m m m'
_symmetry_Int_Tables_number 139
_symmetry_space_group_name_Hall '-I 4 2'
loop_
_atom_site_label
_atom_site_type_symbol
_atom_site_fract_x
_atom_site_fract_y
_atom_site_fract_z
Cd1 Cd 0.000 0.000 0.000
Cu1 Cu 0.000 0.000 0.334
Te1 Te 0.000 0.500 0.250
# - E_tot (eV per atom) = -2.932
# - volume (A^3/atom) = 22.70
# - formation energy without anion corrections (eV per atom) = 0.146
# - E above lowest polymorph (eV/atom) = 0.166

***

Record 4
# GGA-PBE Cs3PrBi2Se6, relaxed
data_Cs3PrBi2Se6
_cell_length_a 7.639
_cell_length_b 13.230
_cell_length_c 8.764
_cell_angle_alpha 90.00
_cell_angle_beta 106.89
_cell_angle_gamma 90.00
_symmetry_space_group_name_H-M 'C 1 2/m 1'
_symmetry_Int_Tables_number 12
loop_
_symmetry_equiv_pos_as_xyz
'x,y,z'
'-x,-y,-z'
'-x,y,-z'
'x,-y,z'
'x+1/2,y+1/2,z'
'-x+1/2,-y+1/2,-z'
'-x+1/2,y+1/2,-z'
'x+1/2,-y+1/2,z'
loop_
_atom_site_label
_atom_site_type_symbol
_atom_site_fract_x
_atom_site_fract_y
_atom_site_fract_z
Cs1 Cs 0.000 0.000 0.000
Cs2 Cs 0.000 0.333 0.000
Pr1 Pr 0.000 0.500 0.500
Bi1 Bi 0.000 0.167 0.500
Se1 Se 0.228 0.000 0.692
Se2 Se 0.232 0.332 0.692
# - E_tot (eV per atom) = -4.098
# - volume (A^3/atom) = 35.31
# - formation energy without anion corrections (eV per atom) = -1.097